DFT (PBE-GGA) results for a relaxed RbCaPb2 crystal.

Values from the calculation:
Electronic total energy: -41.00 eV for the cell shown
Distance to the lowest polymorph of the same formula: 0.340 eV per atom
Calculated volume: 47.34 Å³ per atom
Spin magnetization: 0.00 Bohr magnetons per cell

a = 5.845 Å, b = 5.845 Å, c = 22.172 Å
α = 90.00°, β = 90.00°, γ = 90.00°
Space group I-42d (No. 122)
One atom of each set of equivalent atoms:
Rb (0.000, 0.000, 0.000)
Ca (0.000, 0.000, 0.500)
Pb (0.110, 0.250, 0.625)